Entry 1:
# MgBeFe3 GGA-PBE relaxed
data_MgBeFe3
_chemical_formula_sum 'Mg1 Be1 Fe3'
_symmetry_space_group_name_H-M 'P m -3 m'
_symmetry_Int_Tables_number 221
_symmetry_space_group_name_Hall '-P 4 2 3'
_cell_length_a 4.025
_cell_length_b 4.025
_cell_length_c 4.025
_cell_angle_alpha 90.00
_cell_angle_beta 90.00
_cell_angle_gamma 90.00
loop_
_atom_site_label
_atom_site_type_symbol
_atom_site_fract_x
_atom_site_fract_y
_atom_site_fract_z
Mg1 Mg 0.000 0.000 0.000
Be1 Be 0.500 0.500 0.500
Fe1 Fe 0.000 0.500 0.500
# ΔE_f = 0.420 eV/atom
# Final energy = -5.722 eV per atom
# Calculated volume = 13.0 Å³ per atom
# Total magnetic moment = 6.17 μB/cell

=====

Entry 2:
# CeScZnCd GGA-PBE relaxed
data_CeScZnCd
_chemical_formula_sum 'Ce1 Sc1 Zn1 Cd1'
_symmetry_space_group_name_H-M 'P 4 m m'
_symmetry_Int_Tables_number 99
_symmetry_space_group_name_Hall 'P 4 -2'
_cell_length_a 3.223
_cell_length_b 3.223
_cell_length_c 8.509
_cell_angle_alpha 90.00
_cell_angle_beta 90.00
_cell_angle_gamma 90.00
loop_
_atom_site_label
_atom_site_type_symbol
_atom_site_fract_x
_atom_site_fract_y
_atom_site_fract_z
Ce1 Ce 0.000 0.000 0.000
Sc1 Sc 0.000 0.000 0.540
Zn1 Zn 0.500 0.500 0.748
Cd1 Cd 0.500 0.500 0.292
# ΔE_f = -0.247 eV/atom
# Final energy = -3.861 eV per atom
# Calculated volume = 22.1 Å³ per atom
# Total magnetic moment = 0.53 μB/cell

=====

Entry 3:
# KPrInHg GGA-PBE relaxed
data_KPrInHg
_chemical_formula_sum 'K4 Pr4 In4 Hg4'
_symmetry_space_group_name_H-M 'F -4 3 m'
_symmetry_Int_Tables_number 216
_symmetry_space_group_name_Hall 'F -4 2 3'
_cell_length_a 7.929
_cell_length_b 7.929
_cell_length_c 7.929
_cell_angle_alpha 90.00
_cell_angle_beta 90.00
_cell_angle_gamma 90.00
loop_
_atom_site_label
_atom_site_type_symbol
_atom_site_fract_x
_atom_site_fract_y
_atom_site_fract_z
K1 K 0.000 0.000 0.000
Pr1 Pr 0.000 0.000 0.500
In1 In 0.250 0.250 0.750
Hg1 Hg 0.250 0.250 0.250
# ΔE_f = -0.172 eV/atom
# Final energy = -2.402 eV per atom
# Calculated volume = 31.2 Å³ per atom
# Total magnetic moment = 0.00 μB/cell

=====

Entry 4:
# CoSi2Hg GGA-PBE relaxed
data_CoSi2Hg
_chemical_formula_sum 'Co1 Si2 Hg1'
_symmetry_space_group_name_H-M 'P 4/m m m'
_symmetry_Int_Tables_number 123
_symmetry_space_group_name_Hall '-P 4 2'
_cell_length_a 3.994
_cell_length_b 3.994
_cell_length_c 3.861
_cell_angle_alpha 90.00
_cell_angle_beta 90.00
_cell_angle_gamma 90.00
loop_
_atom_site_label
_atom_site_type_symbol
_atom_site_fract_x
_atom_site_fract_y
_atom_site_fract_z
Co1 Co 0.000 0.000 0.000
Si1 Si 0.000 0.500 0.500
Hg1 Hg 0.500 0.500 0.000
# Final energy = -3.971 eV per atom
# Energy relative to the elements, uncorrected = 0.592 eV/atom
# Calculated volume = 15.4 Å³ per atom
# Total magnetic moment = 1.06 μB/cell

=====

Entry 5:
# PuSe4 GGA-PBE relaxed
data_PuSe4
_chemical_formula_sum 'Pu1 Se4'
_symmetry_space_group_name_H-M 'P m -3 m'
_symmetry_Int_Tables_number 221
_symmetry_space_group_name_Hall '-P 4 2 3'
_cell_length_a 5.412
_cell_length_b 5.412
_cell_length_c 5.412
_cell_angle_alpha 90.00
_cell_angle_beta 90.00
_cell_angle_gamma 90.00
loop_
_atom_site_label
_atom_site_type_symbol
_atom_site_fract_x
_atom_site_fract_y
_atom_site_fract_z
Pu1 Pu 0.000 0.000 0.000
Se1 Se 0.000 0.000 0.500
Se2 Se 0.500 0.500 0.500
# Final energy = -5.706 eV per atom
# Energy relative to the elements, uncorrected = -0.052 eV/atom
# Calculated volume = 31.7 Å³ per atom
# Total magnetic moment = 0.05 μB/cell

=====

Entry 6:
# MgAu2O4 GGA-PBE relaxed
data_MgAu2O4
_chemical_formula_sum 'Mg2 Au4 O8'
_symmetry_space_group_name_H-M 'I 4/m m m'
_symmetry_Int_Tables_number 139
_symmetry_space_group_name_Hall '-I 4 2'
_cell_length_a 6.430
_cell_length_b 6.430
_cell_length_c 6.820
_cell_angle_alpha 90.00
_cell_angle_beta 90.00
_cell_angle_gamma 90.00
loop_
_atom_site_label
_atom_site_type_symbol
_atom_site_fract_x
_atom_site_fract_y
_atom_site_fract_z
Mg1 Mg 0.000 0.000 0.000
Au1 Au 0.000 0.500 0.250
O1 O 0.000 0.312 0.000
# Final energy = -4.213 eV per atom
# Energy relative to the elements, uncorrected = -0.215 eV/atom
# Calculated volume = 20.1 Å³ per atom
# Total magnetic moment = 0.00 μB/cell

=====

Entry 7:
# Y3Si2Ni9Sn GGA-PBE relaxed
data_Y3Si2Ni9Sn
_chemical_formula_sum 'Y3 Si2 Ni9 Sn1'
_symmetry_space_group_name_H-M 'P -3 m 1'
_symmetry_Int_Tables_number 164
_symmetry_space_group_name_Hall '-P 3 2"'
_cell_length_a 5.8446
_cell_length_b 5.8446
_cell_length_c 8.9119
_cell_angle_alpha 90.00
_cell_angle_beta 90.00
_cell_angle_gamma 120.00
loop_
_atom_site_label
_atom_site_type_symbol
_atom_site_fract_x
_atom_site_fract_y
_atom_site_fract_z
Y1 Y 0.0000 0.0000 0.0000
Y2 Y 0.3333 0.6667 0.7095
Si1 Si 0.3333 0.6667 0.1680
Ni1 Ni 0.0000 0.5000 0.0000
Ni2 Ni 0.1399 0.2799 0.2670
Sn1 Sn 0.0000 0.0000 0.5000
# Final energy = -6.028 eV per atom
# Energy relative to the elements, uncorrected = -0.277 eV/atom
# Calculated volume = 17.6 Å³ per atom
# Total magnetic moment = 0.00 μB/cell

=====

Entry 8:
# NbGeRu2Cl GGA-PBE relaxed
data_NbGeRu2Cl
_chemical_formula_sum 'Nb1 Ge1 Ru2 Cl1'
_symmetry_space_group_name_H-M 'P 4/m m m'
_symmetry_Int_Tables_number 123
_symmetry_space_group_name_Hall '-P 4 2'
_cell_length_a 4.324
_cell_length_b 4.324
_cell_length_c 4.618
_cell_angle_alpha 90.00
_cell_angle_beta 90.00
_cell_angle_gamma 90.00
loop_
_atom_site_label
_atom_site_type_symbol
_atom_site_fract_x
_atom_site_fract_y
_atom_site_fract_z
Nb1 Nb 0.000 0.000 0.000
Ge1 Ge 0.500 0.500 0.000
Ru1 Ru 0.000 0.500 0.500
Cl1 Cl 0.000 0.000 0.500
# Final energy = -6.156 eV per atom
# Energy relative to the elements, uncorrected = 0.861 eV/atom
# Calculated volume = 17.3 Å³ per atom
# Total magnetic moment = 0.00 μB/cell

=====

Entry 9:
# KTiAsO4 GGA-PBE relaxed
data_KTiAsO4
_chemical_formula_sum 'K2 Ti2 As2 O8'
_symmetry_space_group_name_H-M 'P 1 21/m 1'
_symmetry_Int_Tables_number 11
_symmetry_space_group_name_Hall '-P 2yb'
_cell_length_a 6.454
_cell_length_b 5.671
_cell_length_c 8.571
_cell_angle_alpha 90.00
_cell_angle_beta 108.06
_cell_angle_gamma 90.00
loop_
_atom_site_label
_atom_site_type_symbol
_atom_site_fract_x
_atom_site_fract_y
_atom_site_fract_z
K1 K 0.237 0.250 0.492
Ti1 Ti 0.427 0.750 0.775
As1 As 0.255 0.750 0.137
O1 O 0.191 0.750 0.614
O2 O 0.378 0.750 0.977
O3 O 0.410 0.513 0.260
# Final energy = -6.952 eV per atom
# Energy relative to the elements, uncorrected = -2.170 eV/atom
# Calculated volume = 21.3 Å³ per atom
# Total magnetic moment = 0.00 μB/cell

=====

Entry 10:
# Mg2Pd2I GGA-PBE relaxed
data_Mg2Pd2I
_chemical_formula_sum 'Mg4 Pd4 I2'
_symmetry_space_group_name_H-M 'I 4/m m m'
_symmetry_Int_Tables_number 139
_symmetry_space_group_name_Hall '-I 4 2'
_cell_length_a 3.934
_cell_length_b 3.934
_cell_length_c 14.871
_cell_angle_alpha 90.00
_cell_angle_beta 90.00
_cell_angle_gamma 90.00
loop_
_atom_site_label
_atom_site_type_symbol
_atom_site_fract_x
_atom_site_fract_y
_atom_site_fract_z
Mg1 Mg 0.000 0.000 0.131
Pd1 Pd 0.000 0.500 0.250
I1 I 0.000 0.000 0.500
# Final energy = -3.365 eV per atom
# Energy relative to the elements, uncorrected = -0.340 eV/atom
# Calculated volume = 23.0 Å³ per atom
# Total magnetic moment = 0.00 μB/cell

=====

Entry 11:
# Dy2NiHg GGA-PBE relaxed
data_Dy2NiHg
_chemical_formula_sum 'Dy2 Ni1 Hg1'
_symmetry_space_group_name_H-M 'P 4/m m m'
_symmetry_Int_Tables_number 123
_symmetry_space_group_name_Hall '-P 4 2'
_cell_length_a 3.461
_cell_length_b 3.461
_cell_length_c 7.503
_cell_angle_alpha 90.00
_cell_angle_beta 90.00
_cell_angle_gamma 90.00
loop_
_atom_site_label
_atom_site_type_symbol
_atom_site_fract_x
_atom_site_fract_y
_atom_site_fract_z
Dy1 Dy 0.000 0.000 0.216
Ni1 Ni 0.500 0.500 0.000
Hg1 Hg 0.500 0.500 0.500
# ΔE_f = -0.443 eV/atom
# Final energy = -4.265 eV per atom
# Calculated volume = 22.5 Å³ per atom
# Total magnetic moment = 0.00 μB/cell